Entry 1:
Entry from Alexandria via LeMat-Bulk: a relaxed CaTiGa3 crystal (PBE).

abc: 4.9575 4.9575 4.9575
angles: 90.00 90.00 90.00
Last column: nearest neighbours and their distance in Å.
Positions (direct):
1 Ca 0.0000 0.0000 0.0000  12 Ga 3.51
2 Ti 0.5000 0.5000 0.5000  6 Ga 2.48
3 Ga 0.0000 0.5000 0.5000  2 Ti 2.48
4 Ga 0.5000 0.0000 0.5000  2 Ti 2.48
5 Ga 0.5000 0.5000 0.0000  2 Ti 2.48

Summary:
energy above the most stable polymorph in this dataset: 0.00 kcal/mol of atoms
density: 4.0 Mg/m³
DFT total energy: -3.853 eV/atom
formation energy from the elements: -0.0577 eV/atom
crystal system: cubic
space-group type: Pm-3m

=====

Entry 2:
Entry from Alexandria via LeMat-Bulk: a relaxed CaTiV2Ga crystal (PBE).

abc: 4.6465 4.6465 5.1076
angles: 90.00 90.00 90.00
Last column: nearest neighbours and their distance in Å.
Positions (direct):
1 Ca 0.0000 0.0000 0.0000  2 Ga 2.55
2 Ti 0.5000 0.5000 0.0000  4 Ca 3.29, 8 V 3.45
3 V 0.0000 0.5000 0.5000  2 Ga 2.32
4 V 0.5000 0.0000 0.5000  2 Ga 2.32
5 Ga 0.0000 0.0000 0.5000  4 V 2.32, 2 Ca 2.55

Summary:
density: 3.9 Mg/m³
DFT total energy: -5.065 eV/atom
formation energy from the elements: 1.1668 eV/atom
crystal system: tetragonal
space-group type: P4/mmm

=====

Entry 3:
Entry from Alexandria via LeMat-Bulk: a relaxed CaYTi2Ga crystal (PBE).

abc: 4.9374 4.9374 5.6881
angles: 90.00 90.00 90.00
Last column: nearest neighbours and their distance in Å.
Positions (direct):
1 Ca 0.0000 0.0000 0.0000  2 Y 2.84
2 Y 0.0000 0.0000 0.5000  4 Ti 2.47
3 Ti 0.0000 0.5000 0.5000  2 Y 2.47
4 Ti 0.5000 0.0000 0.5000  2 Y 2.47
5 Ga 0.5000 0.5000 0.0000  4 Ca 3.49, 8 Ti 3.77

Summary:
density: 3.5 Mg/m³
DFT total energy: -4.150 eV/atom
formation energy from the elements: 1.3064 eV/atom
crystal system: tetragonal
space-group type: P4/mmm

=====

Entry 4:
Entry from Alexandria via LeMat-Bulk: a relaxed CaTl2Ga crystal (PBE).

abc: 11.5527 11.5527 11.5527
angles: 157.04 157.04 32.69
Last column: nearest neighbours and their distance in Å.
Positions (direct):
1 Ca 0.0000 0.0000 0.0000  4 Tl 3.24, 4 Ga 3.25
2 Ca 0.7500 0.2500 0.5000  4 Tl 3.24, 4 Ga 3.25
3 Tl 0.1386 0.6250 0.0136  4 Tl 3.16-3.34, 2 Ga 3.19, 2 Ca 3.24
4 Tl 0.3750 0.3886 0.5136  4 Tl 3.16-3.34, 2 Ga 3.19, 2 Ca 3.24
5 Tl 0.6114 0.1250 0.9864  4 Tl 3.16-3.34, 2 Ga 3.19, 2 Ca 3.24
6 Tl 0.8750 0.8614 0.4864  4 Tl 3.16-3.34, 2 Ga 3.19, 2 Ca 3.24
7 Ga 0.2500 0.7500 0.5000  4 Tl 3.19, 4 Ca 3.25
8 Ga 0.5000 0.5000 0.0000  4 Tl 3.19, 4 Ca 3.25

Summary:
energy above the most stable polymorph in this dataset: 3.48 kcal/mol of atoms
density: 7.3 Mg/m³
DFT total energy: -2.506 eV/atom
formation energy from the elements: -0.0653 eV/atom
crystal system: tetragonal
space-group type: I-42d

=====

Entry 5:
Entry from Alexandria via LeMat-Bulk: a relaxed Ca2TlGa2 crystal (PBE).

abc: 9.9272 9.9272 9.9272
angles: 158.11 158.11 31.16
Last column: nearest neighbours and their distance in Å.
Positions (direct):
1 Ca 0.1080 0.1080 0.0000  4 Ga 3.31, 4 Tl 3.37
2 Ca 0.8920 0.8920 0.0000  4 Ga 3.31, 4 Tl 3.37
3 Tl 0.5000 0.5000 0.0000  8 Ca 3.37, 4 Tl 3.77
4 Ga 0.2500 0.7500 0.5000  4 Ga 2.67
5 Ga 0.7500 0.2500 0.5000  4 Ga 2.67

Summary:
energy above the most stable polymorph in this dataset: 2.67 kcal/mol of atoms
density: 5.2 Mg/m³
DFT total energy: -2.742 eV/atom
formation energy from the elements: -0.2569 eV/atom
crystal system: tetragonal
space-group type: I4/mmm

=====

Entry 6:
Entry from Alexandria via LeMat-Bulk: a relaxed CaTl2Ga crystal (PBE).

abc: 4.7195 4.7195 4.7198
angles: 90.00 90.00 90.00
Last column: nearest neighbours and their distance in Å.
Positions (direct):
1 Ca 0.0000 0.0000 0.0000  4 Ga 3.34, 8 Tl 3.34
2 Tl 0.0000 0.5000 0.5000  4 Tl 3.34, 4 Ca 3.34, 4 Ga 3.34
3 Tl 0.5000 0.0000 0.5000  4 Tl 3.34, 4 Ca 3.34, 4 Ga 3.34
4 Ga 0.5000 0.5000 0.0000  4 Ca 3.34, 8 Tl 3.34

Summary:
energy above the most stable polymorph in this dataset: 0.00 kcal/mol of atoms
density: 8.2 Mg/m³
DFT total energy: -2.656 eV/atom
formation energy from the elements: -0.2161 eV/atom
crystal system: tetragonal
space-group type: P4/mmm

=====

- Among the records above, which one has the lowest DFT total energy?
  CaTiV2Ga

=====

- Among the records above, which one has the lowest formation energy from the elements?
  Ca2TlGa2

=====

- density of number 4 (CaTl2Ga)?
  7.3 Mg/m³